Dy2Al3HgAu4: optimized geometry, PBE.

Output
Its formation energy from the elements is -55.8 kJ per mole of atoms. The value obtained for the total energy is -3.963 eV per atom. Its density of states at the Fermi level is 5.3 states/eV per cell. As for the space group: P-4m2 (115).

Cell lengths 4.2861, 4.2861, 11.2624 Å; angles 90.00, 90.00, 90.00 degrees
With the nearest neighbours (Å) after each atom.
Atoms (fractional coordinates):
1 Dy 0.0000 0.5000 0.2416  8 Au 3.23-3.46, 6 Al 3.30-3.61, 2 Hg 3.61
2 Dy 0.5000 0.0000 0.7584  8 Au 3.23-3.46, 6 Al 3.30-3.61, 2 Hg 3.61
3 Al 0.0000 0.5000 0.8752  5 Au 2.44-2.56
4 Al 0.5000 0.0000 0.1248  5 Au 2.44-2.56
5 Al 0.5000 0.5000 0.5000  4 Au 2.79, 4 Hg 3.03
6 Hg 0.0000 0.0000 0.5000  4 Au 2.79, 4 Al 3.03
7 Au 0.0000 0.0000 0.0000  4 Al 2.56
8 Au 0.0000 0.5000 0.6586  1 Al 2.44
9 Au 0.5000 0.0000 0.3414  1 Al 2.44
10 Au 0.5000 0.5000 0.0000  4 Al 2.56